No. 1
VASP calculation (GGA-PBE) on RbTe2PdN after structural relaxation.

```
RbTe2PdN
1.0
6.4925 0.0000 0.0000
0.0000 6.4925 0.0000
0.0000 0.0000 5.1539
Rb Te Pd N
1 2 1 1
Direct
0.0000 0.0000 0.0000
0.0000 0.5000 0.0000
0.5000 0.0000 0.0000
0.5000 0.5000 0.5000
0.0000 0.0000 0.5000
```

Computed properties:
Calculated total energy ... -11.4 eV/cell
Formation energy from raw total energies ... 1.8677 eV/atom
DOS(E_F) ... 1.7314 states/eV/atom
Total magnetic moment ... 5.50 μB/cell

---

No. 2
VASP calculation (GGA-PBE) on KMo2Pt after structural relaxation.

```
KMo2Pt
1.0
2.7563 0.0000 0.0000
0.0000 5.0758 0.0000
0.0000 0.0000 5.2623
K Mo Pt
1 2 1
Direct
0.0000 0.0000 0.0000
0.0000 0.5000 0.5000
0.5000 0.0000 0.5000
0.5000 0.5000 0.0000
```

Computed properties:
Calculated total energy ... -24.6 eV/cell
DOS(E_F) ... 0.9258 states/eV/atom
Total magnetic moment ... 0.87 μB/cell
Calculated formation energy ... 1047 meV/atom

---

No. 3
VASP calculation (GGA-PBE) on Sm4Y2Mg after structural relaxation.

```
Sm4Y2Mg
1.0
6.1207 0.0000 0.0000
0.0000 6.6217 0.0000
-3.0366 0.0000 11.1420
Sm Y Mg
8 4 2
Direct
0.1404 0.0028 0.2845
0.1404 0.4972 0.2845
0.2022 0.7500 0.5565
0.3445 0.2500 0.8765
0.6555 0.7500 0.1235
0.7978 0.2500 0.4435
0.8596 0.5028 0.7155
0.8596 0.9972 0.7155
0.1069 0.7500 0.0008
0.3622 0.2500 0.5778
0.6378 0.7500 0.4222
0.8931 0.2500 0.9992
0.4840 0.7500 0.8337
0.5160 0.2500 0.1663
```

Computed properties:
Calculated total energy ... -65.5 eV/cell
DOS(E_F) ... 1.3955 states/eV/atom
Total magnetic moment ... 0.00 μB/cell
Calculated formation energy ... 95 meV/atom

---

No. 4
VASP calculation (GGA-PBE) on CaZn3Sn after structural relaxation.

```
CaZn3Sn
1.0
5.4163 0.0000 0.0000
0.0000 5.4163 0.0000
0.0000 0.0000 5.4163
Ca Zn Sn
1 3 1
Direct
0.0000 0.0000 0.0000
0.0000 0.0000 0.5000
0.0000 0.5000 0.0000
0.5000 0.0000 0.0000
0.5000 0.5000 0.5000
```

Computed properties:
Calculated total energy ... -5.9 eV/cell
DOS(E_F) ... 1.0404 states/eV/atom
Total magnetic moment ... 0.00 μB/cell
Calculated formation energy ... 779 meV/atom

---

No. 5
VASP calculation (GGA-PBE) on Ac3PdRh after structural relaxation.

```
Ac3PdRh
1.0
2.1411 -6.9510 0.0000
2.1411 6.9510 0.0000
0.0000 0.0000 10.9633
Ac Pd Rh
6 2 2
Direct
0.0870 0.9130 0.7500
0.3615 0.6385 0.5682
0.3615 0.6385 0.9318
0.6385 0.3615 0.0682
0.6385 0.3615 0.4318
0.9130 0.0870 0.2500
0.2509 0.7491 0.2500
0.7491 0.2509 0.7500
0.0000 0.0000 0.0000
0.0000 0.0000 0.5000
```

Computed properties:
Calculated total energy ... -56.1 eV/cell
DOS(E_F) ... 0.7640 states/eV/atom
Total magnetic moment ... 0.00 μB/cell
Calculated formation energy ... -641 meV/atom

---

No. 6
VASP calculation (GGA-PBE) on Ag3Pd4S after structural relaxation.

```
Ag3Pd4S
1.0
5.5918 0.0000 0.0000
0.0000 9.0296 0.0000
0.0000 0.0000 5.5307
Ag Pd S
6 8 2
Direct
0.0000 0.0000 0.0000
0.0000 0.2734 0.7521
0.0000 0.7266 0.7521
0.5000 0.2266 0.2521
0.5000 0.5000 0.5000
0.5000 0.7734 0.2521
0.0000 0.2496 0.2644
0.0000 0.7504 0.2644
0.2360 0.0000 0.4958
0.2640 0.5000 0.9958
0.5000 0.2504 0.7644
0.5000 0.7496 0.7644
0.7360 0.5000 0.9958
0.7640 0.0000 0.4958
0.0000 0.5000 0.3129
0.5000 0.0000 0.8129
```

Computed properties:
Calculated total energy ... -66.8 eV/cell
Formation energy from raw total energies ... 0.0062 eV/atom
DOS(E_F) ... 0.7589 states/eV/atom
Total magnetic moment ... 0.00 μB/cell